! SrAgGe2Pd (GGA-PBE, relaxed); values from VASP
! - crystal system = tetragonal
! - uncorrected energy (eV per atom) = -4.29
! - space-group type = I-4m2, No. 119
&SYSTEM
  ibrav = 0, nat = 10, ntyp = 4
/
ATOMIC_SPECIES
Sr 87.62 Sr.upf
Ag 107.87 Ag.upf
Ge 72.64 Ge.upf
Pd 106.42 Pd.upf
CELL_PARAMETERS angstrom
4.492 0.000 0.000
0.000 4.492 0.000
0.000 0.000 10.454
ATOMIC_POSITIONS angstrom
Sr 0.000 0.000 0.000
Sr 2.246 2.246 5.227
Ag 0.000 2.246 7.840
Ag 2.246 0.000 2.613
Ge 0.000 0.000 3.959
Ge 0.000 0.000 6.495
Ge 2.246 2.246 1.268
Ge 2.246 2.246 9.186
Pd 0.000 2.246 2.613
Pd 2.246 0.000 7.840